1.
# CsInCo2Cl8, relaxed, DFT PBE
data_CsInCo2Cl8
_symmetry_space_group_name_H-M 'R -3'
_symmetry_Int_Tables_number 148
_symmetry_space_group_name_Hall '-R 3'
_cell_length_a 6.4148
_cell_length_b 6.4148
_cell_length_c 30.2541
_cell_angle_alpha 90.00
_cell_angle_beta 90.00
_cell_angle_gamma 120.00
loop_
_atom_site_label
_atom_site_type_symbol
_atom_site_fract_x
_atom_site_fract_y
_atom_site_fract_z
Cs1 Cs 0.0000 0.0000 0.0000
In1 In 0.0000 0.0000 0.5000
Co1 Co 0.0000 0.0000 0.2390
Cl1 Cl 0.0000 0.0000 0.3115
Cl2 Cl 0.0021 0.3272 0.5500
# * total DFT energy (no corrections): -3.692 eV per atom
# * spin magnetization: 18.0 Bohr magnetons per cell

---

2.
# SbOsIN2, relaxed, DFT PBE
data_SbOsIN2
_symmetry_space_group_name_H-M 'P 4/m m m'
_symmetry_Int_Tables_number 123
_symmetry_space_group_name_Hall '-P 4 2'
_cell_length_a 4.0053
_cell_length_b 4.0053
_cell_length_c 5.8709
_cell_angle_alpha 90.00
_cell_angle_beta 90.00
_cell_angle_gamma 90.00
loop_
_atom_site_label
_atom_site_type_symbol
_atom_site_fract_x
_atom_site_fract_y
_atom_site_fract_z
Sb1 Sb 0.0000 0.0000 0.0000
Os1 Os 0.5000 0.5000 0.5000
I1 I 0.5000 0.5000 0.0000
N1 N 0.0000 0.5000 0.5000
# * relative energy among the computed polymorphs: 0 meV/atom
# * total DFT energy (no corrections): -5.499 eV per atom
# * spin magnetization: 1.0 Bohr magnetons per cell

---

3.
# TaRu2Au, relaxed, DFT PBE
data_TaRu2Au
_symmetry_space_group_name_H-M 'C 1 m 1'
_symmetry_Int_Tables_number 8
_cell_length_a 9.3372
_cell_length_b 2.9310
_cell_length_c 4.7268
_cell_angle_alpha 90.00
_cell_angle_beta 101.29
_cell_angle_gamma 90.00
loop_
_symmetry_equiv_pos_as_xyz
'x,y,z'
'x,-y,z'
'x+1/2,y+1/2,z'
'x+1/2,-y+1/2,z'
loop_
_atom_site_label
_atom_site_type_symbol
_atom_site_fract_x
_atom_site_fract_y
_atom_site_fract_z
Ta1 Ta 0.0000 0.0000 0.0000
Ru1 Ru 0.0089 0.5000 0.5378
Ru2 Ru 0.2483 0.0000 0.7478
Au1 Au 0.2538 0.5000 0.2609
# * calculated formation energy: 0.030 eV per atom
# * relative energy among the computed polymorphs: 188 meV/atom
# * total DFT energy (no corrections): -8.390 eV per atom
# * spin magnetization: 0.0 Bohr magnetons per cell

---

4.
# Li3Cd2Au, relaxed, DFT PBE
data_Li3Cd2Au
_symmetry_space_group_name_H-M 'P 4/m m m'
_symmetry_Int_Tables_number 123
_symmetry_space_group_name_Hall '-P 4 2'
_cell_length_a 3.3019
_cell_length_b 3.3019
_cell_length_c 9.5163
_cell_angle_alpha 90.00
_cell_angle_beta 90.00
_cell_angle_gamma 90.00
loop_
_atom_site_label
_atom_site_type_symbol
_atom_site_fract_x
_atom_site_fract_y
_atom_site_fract_z
Li1 Li 0.0000 0.0000 0.0000
Li2 Li 0.0000 0.0000 0.3543
Cd1 Cd 0.5000 0.5000 0.1757
Au1 Au 0.5000 0.5000 0.5000
# * calculated formation energy: -0.355 eV per atom
# * relative energy among the computed polymorphs: 3 meV/atom
# * total DFT energy (no corrections): -2.163 eV per atom
# * spin magnetization: 0.0 Bohr magnetons per cell

---

5.
# ZnInFe, relaxed, DFT PBE
data_ZnInFe
_symmetry_space_group_name_H-M 'F -4 3 m'
_symmetry_Int_Tables_number 216
_symmetry_space_group_name_Hall 'F -4 2 3'
_cell_length_a 6.0928
_cell_length_b 6.0928
_cell_length_c 6.0928
_cell_angle_alpha 90.00
_cell_angle_beta 90.00
_cell_angle_gamma 90.00
loop_
_atom_site_label
_atom_site_type_symbol
_atom_site_fract_x
_atom_site_fract_y
_atom_site_fract_z
Zn1 Zn 0.0000 0.0000 0.0000
In1 In 0.0000 0.0000 0.5000
Fe1 Fe 0.2500 0.2500 0.2500
# * calculated formation energy: 0.364 eV per atom
# * relative energy among the computed polymorphs: 125 meV/atom
# * total DFT energy (no corrections): -3.794 eV per atom
# * spin magnetization: 8.9 Bohr magnetons per cell

---

6.
# InSeN2, relaxed, DFT PBE
data_InSeN2
_symmetry_space_group_name_H-M 'R -3 m'
_symmetry_Int_Tables_number 166
_symmetry_space_group_name_Hall '-R 3 2"'
_cell_length_a 3.0873
_cell_length_b 3.0873
_cell_length_c 20.6889
_cell_angle_alpha 90.00
_cell_angle_beta 90.00
_cell_angle_gamma 120.00
loop_
_atom_site_label
_atom_site_type_symbol
_atom_site_fract_x
_atom_site_fract_y
_atom_site_fract_z
In1 In 0.0000 0.0000 0.0000
Se1 Se 0.0000 0.0000 0.5000
N1 N 0.0000 0.0000 0.1132
# * relative energy among the computed polymorphs: 1222 meV/atom
# * total DFT energy (no corrections): -4.620 eV per atom
# * spin magnetization: 0.0 Bohr magnetons per cell

---

7.
# CuO, relaxed, DFT PBE
data_CuO
_symmetry_space_group_name_H-M 'P -6 2 m'
_symmetry_Int_Tables_number 189
_symmetry_space_group_name_Hall 'P -6 -2'
_cell_length_a 5.0829
_cell_length_b 5.0829
_cell_length_c 2.7636
_cell_angle_alpha 90.00
_cell_angle_beta 90.00
_cell_angle_gamma 120.00
loop_
_atom_site_label
_atom_site_type_symbol
_atom_site_fract_x
_atom_site_fract_y
_atom_site_fract_z
Cu1 Cu 0.0000 0.0000 0.0000
Cu2 Cu 0.3333 0.6667 0.5000
O1 O 0.0000 0.3753 0.0000
# * total DFT energy (no corrections): -4.819 eV per atom
# * spin magnetization: 0.6 Bohr magnetons per cell

---

8.
# TlNi2Rh, relaxed, DFT PBE
data_TlNi2Rh
_symmetry_space_group_name_H-M 'R 3 m'
_symmetry_Int_Tables_number 160
_symmetry_space_group_name_Hall 'R 3 -2"'
_cell_length_a 2.9365
_cell_length_b 2.9365
_cell_length_c 24.6903
_cell_angle_alpha 90.00
_cell_angle_beta 90.00
_cell_angle_gamma 120.00
loop_
_atom_site_label
_atom_site_type_symbol
_atom_site_fract_x
_atom_site_fract_y
_atom_site_fract_z
Tl1 Tl 0.0000 0.0000 0.0000
Ni1 Ni 0.0000 0.0000 0.4940
Ni2 Ni 0.0000 0.0000 0.7554
Rh1 Rh 0.0000 0.0000 0.2390
# * calculated formation energy: 0.446 eV per atom
# * relative energy among the computed polymorphs: 250 meV/atom
# * total DFT energy (no corrections): -4.874 eV per atom
# * spin magnetization: 4.8 Bohr magnetons per cell

---

9.
# Th4CdAu7, relaxed, DFT PBE
data_Th4CdAu7
_symmetry_space_group_name_H-M 'C 1 2/m 1'
_symmetry_Int_Tables_number 12
_cell_length_a 14.5232
_cell_length_b 5.2098
_cell_length_c 9.5786
_cell_angle_alpha 90.00
_cell_angle_beta 122.43
_cell_angle_gamma 90.00
loop_
_symmetry_equiv_pos_as_xyz
'x,y,z'
'-x,-y,-z'
'-x,y,-z'
'x,-y,z'
'x+1/2,y+1/2,z'
'-x+1/2,-y+1/2,-z'
'-x+1/2,y+1/2,-z'
'x+1/2,-y+1/2,z'
loop_
_atom_site_label
_atom_site_type_symbol
_atom_site_fract_x
_atom_site_fract_y
_atom_site_fract_z
Th1 Th 0.0684 0.0000 0.2563
Th2 Th 0.2287 0.0000 0.7803
Cd1 Cd 0.0000 0.5000 0.5000
Au1 Au 0.0000 0.0000 0.5000
Au2 Au 0.0890 0.5000 0.8551
Au3 Au 0.1657 0.0000 0.0492
Au4 Au 0.1856 0.5000 0.4464
# * calculated formation energy: -0.510 eV per atom
# * total DFT energy (no corrections): -4.971 eV per atom
# * spin magnetization: 0.0 Bohr magnetons per cell

---

10.
# Cs2LaZn2Te4, relaxed, DFT PBE
data_Cs2LaZn2Te4
_symmetry_space_group_name_H-M 'C 1 2/m 1'
_symmetry_Int_Tables_number 12
_cell_length_a 16.8944
_cell_length_b 4.9210
_cell_length_c 8.8387
_cell_angle_alpha 90.00
_cell_angle_beta 108.79
_cell_angle_gamma 90.00
loop_
_symmetry_equiv_pos_as_xyz
'x,y,z'
'-x,-y,-z'
'-x,y,-z'
'x,-y,z'
'x+1/2,y+1/2,z'
'-x+1/2,-y+1/2,-z'
'-x+1/2,y+1/2,-z'
'x+1/2,-y+1/2,z'
loop_
_atom_site_label
_atom_site_type_symbol
_atom_site_fract_x
_atom_site_fract_y
_atom_site_fract_z
Cs1 Cs 0.1350 0.0000 0.0664
La1 La 0.0000 0.0000 0.5000
Zn1 Zn 0.1738 0.5000 0.5023
Te1 Te 0.0179 0.5000 0.2680
Te2 Te 0.2025 0.0000 0.6535
# * total DFT energy (no corrections): -3.357 eV per atom
# * spin magnetization: 0.0 Bohr magnetons per cell